1.
A plane-wave DFT calculation with PBE was carried out for an optimized crystal structure of Na2Mg3Bi4.

a b c (Å): 9.143 9.143 9.645
angles (deg): 90.00 90.00 137.62
Positions (direct):
Na1 0.105 0.895 0.936
Na2 0.395 0.605 0.436
Na3 0.605 0.395 0.564
Na4 0.895 0.105 0.064
Mg1 0.000 0.000 0.500
Mg2 0.046 0.454 0.750
Mg3 0.454 0.046 0.250
Mg4 0.500 0.500 0.000
Mg5 0.546 0.954 0.750
Mg6 0.954 0.546 0.250
Bi1 0.211 0.789 0.526
Bi2 0.218 0.282 0.750
Bi3 0.282 0.218 0.250
Bi4 0.289 0.711 0.026
Bi5 0.711 0.289 0.974
Bi6 0.718 0.782 0.750
Bi7 0.782 0.718 0.250
Bi8 0.789 0.211 0.474

Output
volume: 30.19 A^3/atom
energy of formation: -0.216 eV per atom
SG: Cmce, No. 64
calculated total energy: -0.102 hartree per atom
DOS at the Fermi energy: 1.7 states/eV per cell

2.
A plane-wave DFT calculation with PBE was carried out for an optimized crystal structure of Li3B8C8.

a b c (Å): 8.046 8.046 9.401
angles (deg): 107.81 107.81 19.18
Positions (direct):
Li1 0.000 0.000 0.000
Li2 0.256 0.256 0.648
Li3 0.744 0.744 0.352
B1 0.119 0.119 0.233
B2 0.133 0.133 0.740
B3 0.363 0.363 0.510
B4 0.376 0.376 0.015
B5 0.624 0.624 0.985
B6 0.637 0.637 0.490
B7 0.867 0.867 0.260
B8 0.881 0.881 0.767
C1 0.126 0.126 0.900
C2 0.137 0.137 0.404
C3 0.361 0.361 0.343
C4 0.384 0.384 0.856
C5 0.616 0.616 0.144
C6 0.639 0.639 0.657
C7 0.863 0.863 0.596
C8 0.874 0.874 0.100

Output
relative energy among the computed polymorphs: 1.84 eV per formula unit
volume: 10.00 A^3/atom
energy of formation: 0.103 eV per atom
SG: C2/m, No. 12
calculated total energy: -0.253 hartree per atom
DOS at the Fermi energy: 4.2 states/eV per cell

3.
A plane-wave DFT calculation with PBE was carried out for an optimized crystal structure of CePm3Dy2As6.

a b c (Å): 9.370 9.370 8.391
angles (deg): 102.99 102.99 25.88
Positions (direct):
Ce1 0.000 0.000 0.000
Pm1 0.000 0.000 0.500
Pm2 0.333 0.333 0.169
Pm3 0.667 0.667 0.831
Dy1 0.332 0.332 0.665
Dy2 0.668 0.668 0.335
As1 0.165 0.165 0.087
As2 0.168 0.168 0.579
As3 0.498 0.498 0.752
As4 0.502 0.502 0.248
As5 0.832 0.832 0.421
As6 0.835 0.835 0.913

Output
volume: 26.07 A^3/atom
energy of formation: -1.516 eV per atom
SG: C2/m, No. 12
calculated total energy: -0.231 hartree per atom
DOS at the Fermi energy: 6.1 states/eV per cell

4.
A plane-wave DFT calculation with PBE was carried out for an optimized crystal structure of RbCeAg2I8.

a b c (Å): 9.036 9.036 9.036
angles (deg): 106.40 106.40 115.81
Positions (direct):
Rb1 0.000 0.000 0.000
Ce1 0.250 0.750 0.500
Ag1 0.500 0.500 0.000
Ag2 0.750 0.250 0.500
I1 0.322 0.110 0.787
I2 0.322 0.535 0.213
I3 0.361 0.030 0.331
I4 0.465 0.678 0.787
I5 0.700 0.030 0.669
I6 0.890 0.678 0.213
I7 0.970 0.300 0.331
I8 0.970 0.639 0.669

Output
formation energy without anion corrections: -0.71 eV/atom
volume: 46.88 A^3/atom
SG: I-4m2, No. 119
calculated total energy: -0.103 hartree per atom
DOS at the Fermi energy: 14.4 states/eV per cell

5.
A plane-wave DFT calculation with PBE was carried out for an optimized crystal structure of TaZnW2.

a b c (Å): 2.739 4.534 5.340
angles (deg): 90.00 99.77 90.00
Positions (direct):
Ta1 0.000 0.000 0.000
Zn1 0.317 0.500 0.758
W1 0.480 0.000 0.493
W2 0.730 0.500 0.266

Output
volume: 16.34 A^3/atom
energy of formation: 0.143 eV per atom
SG: Pm, No. 6
calculated total energy: -0.353 hartree per atom
DOS at the Fermi energy: 2.4 states/eV per cell

6.
A plane-wave DFT calculation with PBE was carried out for an optimized crystal structure of BaAg2Pb3.

a b c (Å): 10.067 10.067 11.909
angles (deg): 107.94 107.94 28.43
Positions (direct):
Ba1 0.000 0.000 0.000
Ba2 0.159 0.159 0.704
Ba3 0.841 0.841 0.296
Ag1 0.196 0.196 0.111
Ag2 0.356 0.356 0.539
Ag3 0.469 0.469 0.217
Ag4 0.531 0.531 0.783
Ag5 0.644 0.644 0.461
Ag6 0.804 0.804 0.889
Pb1 0.042 0.042 0.345
Pb2 0.211 0.211 0.372
Pb3 0.328 0.328 0.042
Pb4 0.375 0.375 0.806
Pb5 0.500 0.500 0.500
Pb6 0.625 0.625 0.194
Pb7 0.672 0.672 0.958
Pb8 0.789 0.789 0.628
Pb9 0.958 0.958 0.655

Output
relative energy among the computed polymorphs: 0.00 eV per formula unit
volume: 30.26 A^3/atom
energy of formation: -0.186 eV per atom
SG: C2/m, No. 12
calculated total energy: -0.122 hartree per atom
DOS at the Fermi energy: 8.5 states/eV per cell

7.
A plane-wave DFT calculation with PBE was carried out for an optimized crystal structure of AcPr2Cd9.

a b c (Å): 10.281 10.281 10.281
angles (deg): 34.56 34.56 34.56
Positions (direct):
Ac1 0.000 0.000 0.000
Pr1 0.142 0.142 0.142
Pr2 0.858 0.858 0.858
Cd1 0.077 0.589 0.589
Cd2 0.335 0.335 0.335
Cd3 0.411 0.411 0.923
Cd4 0.411 0.923 0.411
Cd5 0.500 0.500 0.500
Cd6 0.589 0.077 0.589
Cd7 0.589 0.589 0.077
Cd8 0.665 0.665 0.665
Cd9 0.923 0.411 0.411

Output
volume: 26.00 A^3/atom
energy of formation: -0.276 eV per atom
SG: R-3m, No. 166
calculated total energy: -0.077 hartree per atom
DOS at the Fermi energy: 9.8 states/eV per cell

8.
A plane-wave DFT calculation with PBE was carried out for an optimized crystal structure of Mn2InSe.

a b c (Å): 3.427 5.318 8.328
angles (deg): 90.00 90.00 90.00
Positions (direct):
Mn1 0.000 0.000 0.230
Mn2 0.000 0.000 0.770
Mn3 0.500 0.500 0.270
Mn4 0.500 0.500 0.730
In1 0.000 0.500 0.000
In2 0.500 0.000 0.500
Se1 0.000 0.500 0.500
Se2 0.500 0.000 0.000

Output
relative energy among the computed polymorphs: 0.78 eV per formula unit
formation energy without anion corrections: 0.22 eV/atom
volume: 18.97 A^3/atom
SG: Immm, No. 71
calculated total energy: -0.218 hartree per atom
DOS at the Fermi energy: 5.9 states/eV per cell

9.
A plane-wave DFT calculation with PBE was carried out for an optimized crystal structure of PmSm4In.

a b c (Å): 5.616 6.996 9.788
angles (deg): 90.00 90.00 90.00
Positions (direct):
Pm1 0.249 0.250 0.428
Pm2 0.751 0.750 0.572
Sm1 0.250 0.250 0.080
Sm2 0.250 0.505 0.758
Sm3 0.250 0.995 0.758
Sm4 0.251 0.750 0.391
Sm5 0.749 0.250 0.609
Sm6 0.750 0.005 0.242
Sm7 0.750 0.495 0.242
Sm8 0.750 0.750 0.920
In1 0.250 0.750 0.071
In2 0.750 0.250 0.929

Output
relative energy among the computed polymorphs: 0.06 eV per formula unit
volume: 32.05 A^3/atom
energy of formation: -0.132 eV per atom
SG: P2_1/m, No. 11
calculated total energy: -0.166 hartree per atom
DOS at the Fermi energy: 16.4 states/eV per cell

10.
A plane-wave DFT calculation with PBE was carried out for an optimized crystal structure of Pm5AlTl2.

a b c (Å): 6.844 13.286 5.263
angles (deg): 90.00 90.00 90.00
Positions (direct):
Pm1 0.000 0.000 0.000
Pm2 0.139 0.279 0.000
Pm3 0.157 0.599 0.500
Pm4 0.343 0.099 0.500
Pm5 0.361 0.779 0.000
Pm6 0.500 0.500 0.000
Pm7 0.639 0.221 0.000
Pm8 0.657 0.901 0.500
Pm9 0.843 0.401 0.500
Pm10 0.861 0.721 0.000
Al1 0.000 0.500 0.000
Al2 0.500 0.000 0.000
Tl1 0.121 0.850 0.500
Tl2 0.379 0.350 0.500
Tl3 0.621 0.650 0.500
Tl4 0.879 0.150 0.500

Output
volume: 29.91 A^3/atom
energy of formation: -0.300 eV per atom
SG: Pbam, No. 55
calculated total energy: -0.159 hartree per atom
DOS at the Fermi energy: 13.9 states/eV per cell

11.
A plane-wave DFT calculation with PBE was carried out for an optimized crystal structure of KCoAs2.

a b c (Å): 3.927 3.927 19.591
angles (deg): 90.00 90.00 120.00
Positions (direct):
K1 0.000 0.000 0.000
K2 0.333 0.667 0.667
K3 0.667 0.333 0.333
Co1 0.000 0.000 0.500
Co2 0.333 0.667 0.167
Co3 0.667 0.333 0.833
As1 0.000 0.000 0.209
As2 0.000 0.000 0.791
As3 0.333 0.667 0.457
As4 0.333 0.667 0.876
As5 0.667 0.333 0.124
As6 0.667 0.333 0.543

Output
relative energy among the computed polymorphs: 0.00 eV per formula unit
volume: 21.81 A^3/atom
energy of formation: -0.242 eV per atom
SG: R-3m, No. 166
calculated total energy: -0.170 hartree per atom
DOS at the Fermi energy: 7.9 states/eV per cell

12.
A plane-wave DFT calculation with PBE was carried out for an optimized crystal structure of TaV2Ni9.

a b c (Å): 3.615 3.615 10.796
angles (deg): 90.00 90.00 90.00
Positions (direct):
Ta1 0.000 0.000 0.000
V1 0.000 0.000 0.339
V2 0.000 0.000 0.661
Ni1 0.000 0.500 0.171
Ni2 0.000 0.500 0.500
Ni3 0.000 0.500 0.829
Ni4 0.500 0.000 0.171
Ni5 0.500 0.000 0.500
Ni6 0.500 0.000 0.829
Ni7 0.500 0.500 0.000
Ni8 0.500 0.500 0.335
Ni9 0.500 0.500 0.665

Output
volume: 11.76 A^3/atom
energy of formation: -0.186 eV per atom
SG: P4/mmm, No. 123
calculated total energy: -0.258 hartree per atom
DOS at the Fermi energy: 14.6 states/eV per cell

13.
A plane-wave DFT calculation with PBE was carried out for an optimized crystal structure of Hf3TiBe2N.

a b c (Å): 3.993 4.186 13.353
angles (deg): 90.00 90.00 90.00
Positions (direct):
Hf1 0.000 0.000 0.000
Hf2 0.000 0.500 0.173
Hf3 0.000 0.500 0.827
Hf4 0.500 0.000 0.327
Hf5 0.500 0.000 0.673
Hf6 0.500 0.500 0.500
Ti1 0.000 0.000 0.500
Ti2 0.500 0.500 0.000
Be1 0.000 0.500 0.372
Be2 0.000 0.500 0.628
Be3 0.500 0.000 0.128
Be4 0.500 0.000 0.872
N1 0.000 0.500 0.000
N2 0.500 0.000 0.500

Output
formation energy without anion corrections: -0.41 eV/atom
volume: 15.94 A^3/atom
SG: Immm, No. 71
calculated total energy: -0.296 hartree per atom
DOS at the Fermi energy: 8.9 states/eV per cell

14.
A plane-wave DFT calculation with PBE was carried out for an optimized crystal structure of CeNd7Tl2.

a b c (Å): 9.235 9.235 5.491
angles (deg): 90.00 90.00 118.82
Positions (direct):
Ce1 0.000 0.000 0.000
Nd1 0.063 0.300 0.500
Nd2 0.223 0.777 0.000
Nd3 0.300 0.063 0.500
Nd4 0.500 0.500 0.500
Nd5 0.700 0.937 0.500
Nd6 0.777 0.223 0.000
Nd7 0.937 0.700 0.500
Tl1 0.305 0.695 0.500
Tl2 0.695 0.305 0.500

Output
volume: 41.03 A^3/atom
energy of formation: 0.357 eV per atom
SG: Cmmm, No. 65
calculated total energy: -0.149 hartree per atom
DOS at the Fermi energy: 21.2 states/eV per cell

15.
A plane-wave DFT calculation with PBE was carried out for an optimized crystal structure of Tb2Sm3Y8.

a b c (Å): 10.825 10.825 5.679
angles (deg): 90.06 90.06 41.67
Positions (direct):
Tb1 0.241 0.241 0.498
Tb2 0.759 0.759 0.502
Sm1 0.000 0.000 0.500
Sm2 0.289 0.711 0.000
Sm3 0.711 0.289 0.000
Y1 0.134 0.134 0.000
Y2 0.182 0.602 0.499
Y3 0.329 0.329 0.998
Y4 0.398 0.818 0.501
Y5 0.602 0.182 0.499
Y6 0.671 0.671 0.002
Y7 0.818 0.398 0.501
Y8 0.866 0.866 0.000

Output
relative energy among the computed polymorphs: 0.21 eV per formula unit
volume: 34.03 A^3/atom
energy of formation: 0.246 eV per atom
SG: C2/m, No. 12
calculated total energy: -0.203 hartree per atom
DOS at the Fermi energy: 24.6 states/eV per cell

16.
A plane-wave DFT calculation with PBE was carried out for an optimized crystal structure of Sm4Te3H2.

a b c (Å): 7.234 7.234 8.836
angles (deg): 118.30 118.30 32.71
Positions (direct):
Sm1 0.099 0.099 0.405
Sm2 0.316 0.316 0.895
Sm3 0.684 0.684 0.105
Sm4 0.901 0.901 0.595
Te1 0.000 0.000 0.000
Te2 0.382 0.382 0.295
Te3 0.618 0.618 0.705
H1 0.302 0.302 0.616
H2 0.698 0.698 0.384

Output
volume: 24.14 A^3/atom
SG: C2/m, No. 12
calculated total energy: -0.182 hartree per atom
DOS at the Fermi energy: 4.1 states/eV per cell

17.
A plane-wave DFT calculation with PBE was carried out for an optimized crystal structure of MgHIrRh2.

a b c (Å): 3.968 3.968 3.907
angles (deg): 90.00 90.00 90.00
Positions (direct):
Mg1 0.000 0.000 0.000
H1 0.500 0.500 0.500
Ir1 0.500 0.500 0.000
Rh1 0.000 0.500 0.500
Rh2 0.500 0.000 0.500

Output
relative energy among the computed polymorphs: 0.00 eV per formula unit
volume: 12.31 A^3/atom
SG: P4/mmm, No. 123
calculated total energy: -0.217 hartree per atom
DOS at the Fermi energy: 2.7 states/eV per cell

18.
A plane-wave DFT calculation with PBE was carried out for an optimized crystal structure of Na2B2Pd5Au.

a b c (Å): 10.036 10.036 2.976
angles (deg): 90.00 90.00 90.00
Positions (direct):
Na1 0.179 0.321 0.000
Na2 0.321 0.821 0.000
Na3 0.679 0.179 0.000
Na4 0.821 0.679 0.000
B1 0.123 0.623 0.000
B2 0.377 0.123 0.000
B3 0.623 0.877 0.000
B4 0.877 0.377 0.000
Pd1 0.000 0.500 0.500
Pd2 0.069 0.770 0.500
Pd3 0.230 0.069 0.500
Pd4 0.270 0.569 0.500
Pd5 0.431 0.270 0.500
Pd6 0.500 0.000 0.500
Pd7 0.569 0.730 0.500
Pd8 0.730 0.431 0.500
Pd9 0.770 0.931 0.500
Pd10 0.931 0.230 0.500
Au1 0.000 0.000 0.000
Au2 0.500 0.500 0.000

Output
volume: 14.99 A^3/atom
energy of formation: -0.248 eV per atom
SG: P4/mbm, No. 127
calculated total energy: -0.175 hartree per atom
DOS at the Fermi energy: 6.6 states/eV per cell

19.
A plane-wave DFT calculation with PBE was carried out for an optimized crystal structure of HfMn2V2.

a b c (Å): 4.005 4.005 9.248
angles (deg): 90.00 90.00 90.00
Positions (direct):
Hf1 0.000 0.000 0.000
Hf2 0.500 0.500 0.500
Mn1 0.000 0.500 0.250
Mn2 0.000 0.500 0.750
Mn3 0.500 0.000 0.250
Mn4 0.500 0.000 0.750
V1 0.000 0.000 0.373
V2 0.000 0.000 0.627
V3 0.500 0.500 0.127
V4 0.500 0.500 0.873

Output
relative energy among the computed polymorphs: 0.85 eV per formula unit
volume: 14.83 A^3/atom
energy of formation: 0.197 eV per atom
SG: I4/mmm, No. 139
calculated total energy: -0.335 hartree per atom
DOS at the Fermi energy: 7.9 states/eV per cell

20.
A plane-wave DFT calculation with PBE was carried out for an optimized crystal structure of ReAsIr2.

a b c (Å): 2.921 4.463 9.074
angles (deg): 90.00 90.00 90.00
Positions (direct):
Re1 0.000 0.000 0.000
Re2 0.500 0.500 0.500
As1 0.000 0.000 0.500
As2 0.500 0.500 0.000
Ir1 0.000 0.500 0.230
Ir2 0.000 0.500 0.770
Ir3 0.500 0.000 0.270
Ir4 0.500 0.000 0.730

Output
volume: 14.79 A^3/atom
energy of formation: 0.250 eV per atom
SG: Immm, No. 71
calculated total energy: -0.311 hartree per atom
DOS at the Fermi energy: 6.0 states/eV per cell